--- 1 ---
Entry from Alexandria via LeMat-Bulk: a crystal of TiMn3O8 relaxed with PBEsol (meta-GGA SCAN).

a b c (Å): 5.6674 5.6674 5.7762
angles (deg): 60.62 60.62 60.00
Closest atoms and distances in Å follow each position.
Sites, in units of the cell vectors:
Ti  0.0000  0.0000  0.0000  6 O 1.97
Mn  0.0000  0.0000  0.5000  6 O 1.90
Mn  0.0000  0.5000  0.5000  6 O 1.90
Mn  0.5000  0.0000  0.5000  6 O 1.90
O  0.7660  0.7660  0.7021  3 Mn 1.90
O  0.2340  0.2340  0.2979  3 Mn 1.90
O  0.7587  0.2101  0.2725  2 Mn 1.90, 1 Ti 1.97
O  0.2101  0.7587  0.2725  2 Mn 1.90, 1 Ti 1.97
O  0.7587  0.7587  0.2725  2 Mn 1.90, 1 Ti 1.97
O  0.2413  0.2413  0.7275  2 Mn 1.90, 1 Ti 1.97
O  0.2413  0.7899  0.7275  2 Mn 1.90, 1 Ti 1.97
O  0.7899  0.2413  0.7275  2 Mn 1.90, 1 Ti 1.97

--- 2 ---
Entry from Alexandria via LeMat-Bulk: a crystal of TiMn3O8 relaxed with PBEsol (meta-GGA SCAN).

a b c (Å): 8.0867 8.0867 8.0867
angles (deg): 90.00 90.00 90.00
Closest atoms and distances in Å follow each position.
Sites, in units of the cell vectors:
Ti  0.1250  0.8750  0.3750  6 O 1.97
Ti  0.3750  0.1250  0.8750  6 O 1.97
Ti  0.6250  0.6250  0.6250  6 O 1.97
Ti  0.8750  0.3750  0.1250  6 O 1.97
Mn  0.1209  0.1291  0.6250  6 O 1.89-1.90
Mn  0.1250  0.3791  0.8709  6 O 1.89-1.90
Mn  0.1291  0.6250  0.1209  6 O 1.89-1.90
Mn  0.3709  0.3750  0.6209  6 O 1.89-1.90
Mn  0.3750  0.6209  0.3709  6 O 1.89-1.90
Mn  0.3791  0.8709  0.1250  6 O 1.89-1.90
Mn  0.6209  0.3709  0.3750  6 O 1.89-1.90
Mn  0.6250  0.1209  0.1291  6 O 1.89-1.90
Mn  0.6291  0.8750  0.8791  6 O 1.89-1.90
Mn  0.8709  0.1250  0.3791  6 O 1.89-1.90
Mn  0.8750  0.8791  0.6291  6 O 1.89-1.90
Mn  0.8791  0.6291  0.8750  6 O 1.89-1.90
O  0.1047  0.1170  0.3906  2 Mn 1.89-1.90, 1 Ti 1.97
O  0.1094  0.8953  0.6170  2 Mn 1.89-1.90, 1 Ti 1.97
O  0.1133  0.6133  0.8867  3 Mn 1.90
O  0.1330  0.1453  0.8594  2 Mn 1.89-1.90, 1 Ti 1.97
O  0.1170  0.3906  0.1047  2 Mn 1.89-1.90, 1 Ti 1.97
O  0.1367  0.3633  0.6367  3 Mn 1.90
O  0.1406  0.6330  0.3547  2 Mn 1.89-1.90, 1 Ti 1.97
O  0.1453  0.8594  0.1330  2 Mn 1.89-1.90, 1 Ti 1.97
O  0.3547  0.1406  0.6330  2 Mn 1.89-1.90, 1 Ti 1.97
O  0.3594  0.3670  0.8547  2 Mn 1.89-1.90, 1 Ti 1.97
O  0.3633  0.6367  0.1367  3 Mn 1.90
O  0.3830  0.6094  0.6047  2 Mn 1.89-1.90, 1 Ti 1.97
O  0.3670  0.8547  0.3594  2 Mn 1.89-1.90, 1 Ti 1.97
O  0.3867  0.3867  0.3867  3 Mn 1.90
O  0.3906  0.1047  0.1170  2 Mn 1.89-1.90, 1 Ti 1.97
O  0.3953  0.8830  0.8906  2 Mn 1.89-1.90, 1 Ti 1.97
O  0.6047  0.3830  0.6094  2 Mn 1.89-1.90, 1 Ti 1.97
O  0.6094  0.6047  0.3830  2 Mn 1.89-1.90, 1 Ti 1.97
O  0.6133  0.8867  0.1133  3 Mn 1.90
O  0.6330  0.3547  0.1406  2 Mn 1.89-1.90, 1 Ti 1.97
O  0.6170  0.1094  0.8953  2 Mn 1.89-1.90, 1 Ti 1.97
O  0.6367  0.1367  0.3633  3 Mn 1.90
O  0.6406  0.8670  0.6453  2 Mn 1.89-1.90, 1 Ti 1.97
O  0.6453  0.6406  0.8670  2 Mn 1.89-1.90, 1 Ti 1.97
O  0.8547  0.3594  0.3670  2 Mn 1.89-1.90, 1 Ti 1.97
O  0.8594  0.1330  0.1453  2 Mn 1.89-1.90, 1 Ti 1.97
O  0.8633  0.8633  0.8633  3 Mn 1.90
O  0.8830  0.8906  0.3953  2 Mn 1.89-1.90, 1 Ti 1.97
O  0.8670  0.6453  0.6406  2 Mn 1.89-1.90, 1 Ti 1.97
O  0.8867  0.1133  0.6133  3 Mn 1.90
O  0.8906  0.3953  0.8830  2 Mn 1.89-1.90, 1 Ti 1.97
O  0.8953  0.6170  0.1094  2 Mn 1.89-1.90, 1 Ti 1.97

Compare the structures above. Which one is the most stable? 2 is.